# LiSi2 PBE relaxed
data_LiSi2
_chemical_formula_sum 'Li2 Si4'
_cell_length_a 6.314
_cell_length_b 6.314
_cell_length_c 3.787
_cell_angle_alpha 90.00
_cell_angle_beta 90.00
_cell_angle_gamma 145.73
_space_group_name_H-M_alt 'P 1'
_space_group_IT_number 1
loop_
_space_group_symop_operation_xyz
'x,y,z'
loop_
_atom_site_label
_atom_site_type_symbol
_atom_site_fract_x
_atom_site_fract_y
_atom_site_fract_z
_atom_site_occupancy
Li1 Li 0.089 0.911 0.250 1
Li2 Li 0.911 0.089 0.750 1
Si1 Si 0.432 0.568 0.250 1
Si2 Si 0.568 0.432 0.750 1
Si3 Si 0.763 0.237 0.250 1
Si4 Si 0.237 0.763 0.750 1
# M_tot (μB/f.u.): 0.0
# Energy relative to the elements, uncorrected (eV per atom): 0.104
# Excess energy over the best structure of this formula in the dataset (kcal/mol of atoms): 3.33
# Calculated volume (Å³/cell): 85.0
# D(E_F) (states/eV per atom): 0.346
# Space-group type: Cmcm